# CrBAsF2 GGA+U relaxed
data_CrBAsF2
_cell_length_a 3.744
_cell_length_b 3.744
_cell_length_c 5.509
_cell_angle_alpha 90.00
_cell_angle_beta 90.00
_cell_angle_gamma 90.00
_symmetry_space_group_name_H-M 'P 4/m m m'
_symmetry_Int_Tables_number 123
_symmetry_space_group_name_Hall '-P 4 2'
loop_
_atom_site_label
_atom_site_fract_x
_atom_site_fract_y
_atom_site_fract_z
_atom_site_occupancy
Cr1 0.000 0.000 0.000 1
B1 0.500 0.500 0.500 1
As1 0.000 0.000 0.500 1
F1 0.000 0.500 0.000 1
# Raw total energy: -24.48 eV/cell